Entry from Alexandria via LeMat-Bulk: a crystal of CoCuRh2 relaxed with PBEsol (SCAN).

## Properties
The value obtained for the energy relative to the elements is 0.086 eV/atom. As for the space group: No. 25. For the polymorph energy (0 for the lowest one), the calculation gives 0.023 eV/atom.

abc: 2.624 3.655 5.135
angles: 90.00 90.00 90.00
Positions (direct):
Co  0.000  0.000  0.000
Cu  0.500  0.500  0.244
Rh  0.000  0.000  0.493
Rh  0.500  0.500  0.759



Entry from Alexandria via LeMat-Bulk: a crystal of TcPO2F relaxed with PBEsol (SCAN).

## Properties
The raw formation energy is -0.382 eV per atom. As for the space group: No. 123.

abc: 3.728 3.728 4.160
angles: 90.00 90.00 90.00
Positions (direct):
Tc  0.000  0.000  0.000
P  0.500  0.500  0.500
O  0.000  0.500  0.500
O  0.500  0.000  0.500
F  0.500  0.500  0.000



Entry from Alexandria via LeMat-Bulk: a crystal of BeTc2As relaxed with PBEsol (SCAN).

## Properties
The value obtained for the energy relative to the elements is 0.200 eV/atom. As for the space group: No. 47.

abc: 2.990 3.894 4.520
angles: 90.00 90.00 90.00
Positions (direct):
Be  0.000  0.000  0.000
Tc  0.000  0.500  0.500
Tc  0.500  0.500  0.000
As  0.500  0.000  0.500



Entry from Alexandria via LeMat-Bulk: a crystal of NaCa2Pb2 relaxed with PBEsol (SCAN).

## Properties
The value obtained for the energy relative to the elements is -0.530 eV/atom. As for the space group: No. 127. For the polymorph energy (0 for the lowest one), the calculation gives 0.000 eV/atom.

abc: 9.358 9.358 3.511
angles: 90.00 90.00 90.00
Positions (direct):
Na  0.000  0.000  0.000
Na  0.500  0.500  0.000
Ca  0.126  0.374  0.000
Ca  0.374  0.874  0.000
Ca  0.626  0.126  0.000
Ca  0.874  0.626  0.000
Pb  0.175  0.675  0.500
Pb  0.325  0.175  0.500
Pb  0.675  0.825  0.500
Pb  0.825  0.325  0.500



Entry from Alexandria via LeMat-Bulk: a crystal of Al2PdAu relaxed with PBEsol (SCAN).

## Properties
The value obtained for the energy relative to the elements is -0.363 eV/atom. As for the space group: No. 122.

abc: 6.987 6.987 5.443
angles: 90.00 90.00 90.00
Positions (direct):
Al  0.243  0.250  0.125
Al  0.250  0.743  0.375
Al  0.250  0.757  0.875
Al  0.257  0.250  0.625
Al  0.743  0.750  0.625
Al  0.750  0.243  0.875
Al  0.750  0.257  0.375
Al  0.757  0.750  0.125
Pd  0.000  0.000  0.000
Pd  0.000  0.500  0.250
Pd  0.500  0.000  0.750
Pd  0.500  0.500  0.500
Au  0.000  0.000  0.500
Au  0.000  0.500  0.750
Au  0.500  0.000  0.250
Au  0.500  0.500  0.000



Entry from Alexandria via LeMat-Bulk: a crystal of YRe2Si relaxed with PBEsol (SCAN).

## Properties
The raw formation energy is -0.009 eV per atom. As for the space group: No. 6.

abc: 3.107 4.332 5.150
angles: 90.00 103.41 90.00
Positions (direct):
Y  0.000  0.000  0.000
Re  0.395  0.000  0.511
Re  0.740  0.500  0.371
Si  0.414  0.500  0.781